(1)
The following is a SCAN calculation of a crystal of Co3Pt relaxed with PBEsol, from the Alexandria database.

Cell lengths 2.585, 3.504, 5.162 Å; angles 90.00, 90.00, 90.00 degrees
Each line ends with the local moment (μB).
Fractional coordinates of all 4 atoms:
1 Pt 0.500 0.500 0.000  0.36
2 Co 0.500 0.500 0.500  1.88
3 Co 0.000 0.000 0.726  2.01
4 Co 0.000 0.000 0.274  2.01

Results
total magnetization	1.54	μB per atom
crystal system	orthorhombic
energy relative to the elements	-0.069	eV per atom

(2)
The following is a SCAN calculation of a crystal of Co5Pt relaxed with PBEsol, from the Alexandria database.

Cell lengths 3.569, 3.566, 5.587 Å; angles 71.39, 90.00, 90.00 degrees
Each line ends with the local moment (μB).
Fractional coordinates of all 6 atoms:
1 Co 0.000 0.828 0.345  1.88
2 Co 0.500 0.328 0.345  1.93
3 Co 0.500 0.672 0.655  1.93
4 Co 0.500 0.000 0.000  1.99
5 Co 0.000 0.172 0.655  1.88
6 Pt 0.000 0.500 0.000  0.35

Results
total magnetization	1.64	μB per atom
crystal system	orthorhombic
energy relative to the elements	-0.064	eV per atom

(3)
The following is a SCAN calculation of a crystal of Co3Pt relaxed with PBEsol, from the Alexandria database.

Cell lengths 2.598, 2.598, 6.921 Å; angles 90.00, 90.00, 90.00 degrees
Each line ends with the local moment (μB).
Fractional coordinates of all 4 atoms:
1 Co 0.000 0.000 0.729  2.01
2 Co 0.000 0.000 0.271  2.01
3 Co 0.500 0.500 0.500  1.82
4 Pt 0.500 0.500 0.000  0.30

Results
total magnetization	1.51	μB per atom
crystal system	tetragonal
energy relative to the elements	-0.046	eV per atom

(4)
The following is a SCAN calculation of a crystal of CoPt relaxed with PBEsol, from the Alexandria database.

Cell lengths 3.705, 3.705, 4.579 Å; angles 113.87, 113.87, 90.00 degrees
Each line ends with the local moment (μB).
Fractional coordinates of all 4 atoms:
1 Pt 0.500 0.500 0.000  0.41
2 Pt 0.750 0.250 0.500  0.41
3 Co 0.250 0.750 0.500  2.06
4 Co 0.000 0.000 0.000  2.06

Results
total magnetization	1.20	μB per atom
crystal system	tetragonal
energy relative to the elements	-0.125	eV per atom